[1]
Entry from Alexandria via LeMat-Bulk: MgNi2B after structural relaxation (GGA-PBE).

Summary:
The formation enthalpy at 0 K comes out at 0.16 eV/atom. The calculation puts the density of states at the Fermi level at 2.9 states/eV/f.u. The value obtained for the total energy is -4.80 eV per atom. Its magnetization is 0.000 μB per atom.

```
data_MgNi2B
_chemical_formula_sum 'Mg4 Ni8 B4'
_symmetry_space_group_name_H-M 'F m -3 m'
_symmetry_Int_Tables_number 225
_symmetry_space_group_name_Hall '-F 4 2 3'
_cell_length_a 5.514
_cell_length_b 5.514
_cell_length_c 5.514
_cell_angle_alpha 90.00
_cell_angle_beta 90.00
_cell_angle_gamma 90.00
loop_
_atom_site_label
_atom_site_type_symbol
_atom_site_fract_x
_atom_site_fract_y
_atom_site_fract_z
_atom_site_occupancy
Mg1 Mg 0.000 0.000 0.000 1
Ni1 Ni 0.250 0.250 0.250 1
B1 B 0.000 0.000 0.500 1
```

[2]
Entry from Alexandria via LeMat-Bulk: Cs3TmNp2S6 after structural relaxation (GGA-PBE).

Summary:
The calculation puts the density of states at the Fermi level at 22.5 states/eV/f.u. The calculation puts the uncorrected formation energy at -1.4922 eV/atom. The value obtained for the total energy is -6.30 eV per atom. Its magnetization is 0.667 μB per atom.

```
data_Cs3TmNp2S6
_chemical_formula_sum 'Cs6 Tm2 Np4 S12'
_symmetry_space_group_name_H-M 'C 1 2/m 1'
_symmetry_Int_Tables_number 12
_cell_length_a 7.133
_cell_length_b 12.355
_cell_length_c 8.403
_cell_angle_alpha 90.00
_cell_angle_beta 106.44
_cell_angle_gamma 90.00
loop_
_symmetry_equiv_pos_as_xyz
'x,y,z'
'-x,-y,-z'
'-x,y,-z'
'x,-y,z'
'x+1/2,y+1/2,z'
'-x+1/2,-y+1/2,-z'
'-x+1/2,y+1/2,-z'
'x+1/2,-y+1/2,z'
loop_
_atom_site_label
_atom_site_type_symbol
_atom_site_fract_x
_atom_site_fract_y
_atom_site_fract_z
_atom_site_occupancy
Cs1 Cs 0.000 0.000 0.000 1
Cs2 Cs 0.000 0.334 0.000 1
Tm1 Tm 0.000 0.500 0.500 1
Np1 Np 0.000 0.167 0.500 1
S1 S 0.225 0.335 0.680 1
S2 S 0.231 0.000 0.680 1
```

[3]
Entry from Alexandria via LeMat-Bulk: LaZrSe2 after structural relaxation (GGA-PBE).

Summary:
The calculation puts the density of states at the Fermi level at 3.3 states/eV/f.u. The calculation puts the uncorrected formation energy at -1.4768 eV/atom. The value obtained for the total energy is -6.59 eV per atom. Its magnetization is 0.000 μB per atom.

```
data_LaZrSe2
_chemical_formula_sum 'La3 Zr3 Se6'
_symmetry_space_group_name_H-M 'R 3 m'
_symmetry_Int_Tables_number 160
_symmetry_space_group_name_Hall 'R 3 -2"'
_cell_length_a 3.9972
_cell_length_b 3.9972
_cell_length_c 21.1784
_cell_angle_alpha 90.00
_cell_angle_beta 90.00
_cell_angle_gamma 120.00
loop_
_atom_site_label
_atom_site_type_symbol
_atom_site_fract_x
_atom_site_fract_y
_atom_site_fract_z
_atom_site_occupancy
La1 La 0.0000 0.0000 0.0000 1
Zr1 Zr 0.0000 0.0000 0.1756 1
Se1 Se 0.0000 0.0000 0.5782 1
Se2 Se 0.0000 0.0000 0.7648 1
```

[4]
Entry from Alexandria via LeMat-Bulk: Dy5Al4In after structural relaxation (GGA-PBE).

Summary:
The formation enthalpy at 0 K comes out at -0.41 eV/atom. The calculation puts the density of states at the Fermi level at 4.2 states/eV/f.u. The value obtained for the total energy is -4.48 eV per atom. Its magnetization is 0.000 μB per atom.

```
data_Dy5Al4In
_chemical_formula_sum 'Dy5 Al4 In1'
_symmetry_space_group_name_H-M 'P 4/m m m'
_symmetry_Int_Tables_number 123
_symmetry_space_group_name_Hall '-P 4 2'
_cell_length_a 3.587
_cell_length_b 3.587
_cell_length_c 18.634
_cell_angle_alpha 90.00
_cell_angle_beta 90.00
_cell_angle_gamma 90.00
loop_
_atom_site_label
_atom_site_type_symbol
_atom_site_fract_x
_atom_site_fract_y
_atom_site_fract_z
_atom_site_occupancy
Dy1 Dy 0.000 0.000 0.000 1
Dy2 Dy 0.000 0.000 0.194 1
Dy3 Dy 0.000 0.000 0.390 1
Al1 Al 0.500 0.500 0.097 1
Al2 Al 0.500 0.500 0.292 1
In1 In 0.500 0.500 0.500 1
```

[5]
Entry from Alexandria via LeMat-Bulk: Be2Ru after structural relaxation (GGA-PBE).

Summary:
The formation enthalpy at 0 K comes out at -0.29 eV/atom. The calculation puts the density of states at the Fermi level at 0.7 states/eV/f.u. The value obtained for the total energy is -5.86 eV per atom. Its magnetization is 0.000 μB per atom.

```
data_Be2Ru
_chemical_formula_sum 'Be8 Ru4'
_symmetry_space_group_name_H-M 'C m c m'
_symmetry_Int_Tables_number 63
_symmetry_space_group_name_Hall '-C 2c 2'
_cell_length_a 3.154
_cell_length_b 11.976
_cell_length_c 3.192
_cell_angle_alpha 90.00
_cell_angle_beta 90.00
_cell_angle_gamma 90.00
loop_
_atom_site_label
_atom_site_type_symbol
_atom_site_fract_x
_atom_site_fract_y
_atom_site_fract_z
_atom_site_occupancy
Be1 Be 0.000 0.071 0.250 1
Be2 Be 0.000 0.249 0.750 1
Ru1 Ru 0.000 0.401 0.250 1
```

[6]
Entry from Alexandria via LeMat-Bulk: PuPaGePt after structural relaxation (GGA-PBE).

Summary:
The formation enthalpy at 0 K comes out at -0.50 eV/atom. The calculation puts the density of states at the Fermi level at 9.8 states/eV/f.u. The value obtained for the total energy is -9.12 eV per atom. Its magnetization is 1.721 μB per atom.

```
data_PuPaGePt
_chemical_formula_sum 'Pu4 Pa4 Ge4 Pt4'
_symmetry_space_group_name_H-M 'F -4 3 m'
_symmetry_Int_Tables_number 216
_symmetry_space_group_name_Hall 'F -4 2 3'
_cell_length_a 7.082
_cell_length_b 7.082
_cell_length_c 7.082
_cell_angle_alpha 90.00
_cell_angle_beta 90.00
_cell_angle_gamma 90.00
loop_
_atom_site_label
_atom_site_type_symbol
_atom_site_fract_x
_atom_site_fract_y
_atom_site_fract_z
_atom_site_occupancy
Pu1 Pu 0.000 0.000 0.000 1
Pa1 Pa 0.000 0.000 0.500 1
Ge1 Ge 0.250 0.250 0.250 1
Pt1 Pt 0.250 0.250 0.750 1
```

[7]
Entry from Alexandria via LeMat-Bulk: NaPm3Pt8 after structural relaxation (GGA-PBE).

Summary:
The formation enthalpy at 0 K comes out at -0.96 eV/atom. The calculation puts the density of states at the Fermi level at 10.8 states/eV/f.u. The value obtained for the total energy is -6.28 eV per atom. Its magnetization is 0.000 μB per atom.

```
data_NaPm3Pt8
_chemical_formula_sum 'Na3 Pm9 Pt24'
_symmetry_space_group_name_H-M 'R 3 m'
_symmetry_Int_Tables_number 160
_symmetry_space_group_name_Hall 'R 3 -2"'
_cell_length_a 5.4740
_cell_length_b 5.4740
_cell_length_c 26.7633
_cell_angle_alpha 90.00
_cell_angle_beta 90.00
_cell_angle_gamma 120.00
loop_
_atom_site_label
_atom_site_type_symbol
_atom_site_fract_x
_atom_site_fract_y
_atom_site_fract_z
_atom_site_occupancy
Na1 Na 0.0000 0.0000 0.0000 1
Pm1 Pm 0.0000 0.0000 0.1214 1
Pm2 Pm 0.0000 0.0000 0.5057 1
Pm3 Pm 0.0000 0.0000 0.6339 1
Pt1 Pt 0.0000 0.0000 0.3160 1
Pt2 Pt 0.0000 0.0000 0.8157 1
Pt3 Pt 0.0031 0.5015 0.0664 1
Pt4 Pt 0.1674 0.3348 0.8983 1
```

[8]
Entry from Alexandria via LeMat-Bulk: Mg2HgAs after structural relaxation (GGA-PBE).

Summary:
The formation enthalpy at 0 K comes out at -0.04 eV/atom. The calculation puts the density of states at the Fermi level at 1.0 states/eV/f.u. The value obtained for the total energy is -2.08 eV per atom. Its magnetization is 0.000 μB per atom.

```
data_Mg2HgAs
_chemical_formula_sum 'Mg2 Hg1 As1'
_symmetry_space_group_name_H-M 'P 4 m m'
_symmetry_Int_Tables_number 99
_cell_length_a 3.174
_cell_length_b 3.174
_cell_length_c 8.849
_cell_angle_alpha 90.00
_cell_angle_beta 90.00
_cell_angle_gamma 90.00
loop_
_symmetry_equiv_pos_as_xyz
'x,y,z'
'-y,x,z'
'-x,-y,z'
'y,-x,z'
'-x,y,z'
'y,x,z'
'x,-y,z'
'-y,-x,z'
loop_
_atom_site_label
_atom_site_type_symbol
_atom_site_fract_x
_atom_site_fract_y
_atom_site_fract_z
_atom_site_occupancy
Mg1 Mg 0.000 0.000 0.000 1
Mg2 Mg 0.500 0.500 0.267 1
Hg1 Hg 0.500 0.500 0.759 1
As1 As 0.000 0.000 0.463 1
```

[9]
Entry from Alexandria via LeMat-Bulk: KCrHg2 after structural relaxation (GGA-PBE).

Summary:
The formation enthalpy at 0 K comes out at 0.29 eV/atom. The calculation puts the density of states at the Fermi level at 1.9 states/eV/f.u. The value obtained for the total energy is -2.54 eV per atom. Its magnetization is 1.111 μB per atom.

```
data_KCrHg2
_chemical_formula_sum 'K2 Cr2 Hg4'
_symmetry_space_group_name_H-M 'C 1 2/m 1'
_symmetry_Int_Tables_number 12
_cell_length_a 9.063
_cell_length_b 3.546
_cell_length_c 7.384
_cell_angle_alpha 90.00
_cell_angle_beta 100.05
_cell_angle_gamma 90.00
loop_
_symmetry_equiv_pos_as_xyz
'x,y,z'
'-x,-y,-z'
'-x,y,-z'
'x,-y,z'
'x+1/2,y+1/2,z'
'-x+1/2,-y+1/2,-z'
'-x+1/2,y+1/2,-z'
'x+1/2,-y+1/2,z'
loop_
_atom_site_label
_atom_site_type_symbol
_atom_site_fract_x
_atom_site_fract_y
_atom_site_fract_z
_atom_site_occupancy
K1 K 0.000 0.000 0.000 1
Cr1 Cr 0.000 0.500 0.500 1
Hg1 Hg 0.234 0.000 0.676 1
```

[10]
Entry from Alexandria via LeMat-Bulk: BaTaSe2 after structural relaxation (GGA-PBE).

Summary:
The calculation puts the density of states at the Fermi level at 2.1 states/eV/f.u. The calculation puts the uncorrected formation energy at -0.7264 eV/atom. The value obtained for the total energy is -5.91 eV per atom. Its magnetization is 0.207 μB per atom.

```
data_BaTaSe2
_chemical_formula_sum 'Ba2 Ta2 Se4'
_symmetry_space_group_name_H-M 'I m m 2'
_symmetry_Int_Tables_number 44
_cell_length_a 3.605
_cell_length_b 3.745
_cell_length_c 14.777
_cell_angle_alpha 90.00
_cell_angle_beta 90.00
_cell_angle_gamma 90.00
loop_
_symmetry_equiv_pos_as_xyz
'x,y,z'
'-x,-y,z'
'-x,y,z'
'x,-y,z'
'x+1/2,y+1/2,z+1/2'
'-x+1/2,-y+1/2,z+1/2'
'-x+1/2,y+1/2,z+1/2'
'x+1/2,-y+1/2,z+1/2'
loop_
_atom_site_label
_atom_site_type_symbol
_atom_site_fract_x
_atom_site_fract_y
_atom_site_fract_z
_atom_site_occupancy
Ba1 Ba 0.000 0.000 0.000 1
Ta1 Ta 0.000 0.500 0.751 1
Se1 Se 0.000 0.000 0.377 1
Se2 Se 0.000 0.500 0.180 1
```

[11]
Entry from Alexandria via LeMat-Bulk: MnCoNi2 after structural relaxation (GGA-PBE).

Summary:
The formation enthalpy at 0 K comes out at 0.02 eV/atom. The calculation puts the density of states at the Fermi level at 6.4 states/eV/f.u. The value obtained for the total energy is -6.94 eV per atom. Its magnetization is 1.488 μB per atom.

```
data_MnCoNi2
_chemical_formula_sum 'Mn2 Co2 Ni4'
_symmetry_space_group_name_H-M 'I -4 m 2'
_symmetry_Int_Tables_number 119
_symmetry_space_group_name_Hall 'I -4 -2'
_cell_length_a 3.583
_cell_length_b 3.583
_cell_length_c 7.103
_cell_angle_alpha 90.00
_cell_angle_beta 90.00
_cell_angle_gamma 90.00
loop_
_atom_site_label
_atom_site_type_symbol
_atom_site_fract_x
_atom_site_fract_y
_atom_site_fract_z
_atom_site_occupancy
Mn1 Mn 0.000 0.000 0.000 1
Co1 Co 0.000 0.500 0.750 1
Ni1 Ni 0.000 0.000 0.500 1
Ni2 Ni 0.000 0.500 0.250 1
```

[12]
Entry from Alexandria via LeMat-Bulk: LiTiP2Rh after structural relaxation (GGA-PBE).

Summary:
The formation enthalpy at 0 K comes out at 0.23 eV/atom. The calculation puts the density of states at the Fermi level at 4.3 states/eV/f.u. The value obtained for the total energy is -5.37 eV per atom. Its magnetization is 0.000 μB per atom.

```
data_LiTiP2Rh
_chemical_formula_sum 'Li1 Ti1 P2 Rh1'
_symmetry_space_group_name_H-M 'P 4/m m m'
_symmetry_Int_Tables_number 123
_symmetry_space_group_name_Hall '-P 4 2'
_cell_length_a 4.701
_cell_length_b 4.701
_cell_length_c 4.578
_cell_angle_alpha 90.00
_cell_angle_beta 90.00
_cell_angle_gamma 90.00
loop_
_atom_site_label
_atom_site_type_symbol
_atom_site_fract_x
_atom_site_fract_y
_atom_site_fract_z
_atom_site_occupancy
Li1 Li 0.000 0.000 0.000 1
Ti1 Ti 0.500 0.500 0.500 1
P1 P 0.000 0.500 0.500 1
Rh1 Rh 0.500 0.500 0.000 1
```